No. 1
A relaxed SmHO2 crystal, computed with PBE.

Computed properties:
* total energy: -28.4 eV per formula unit

abc: 3.785 4.413 6.194
angles: 71.27 90.00 90.00
Atoms (fractional coordinates):
H: 0.250 0.976 0.929
H: 0.750 0.024 0.071
O: 0.250 0.764 0.455
O: 0.750 0.236 0.545
O: 0.250 0.751 0.939
O: 0.750 0.249 0.061
Sm: 0.750 0.667 0.690
Sm: 0.250 0.333 0.310

***

No. 2
A relaxed Tb5BiS4 crystal, computed with PBE.

Computed properties:
* energy relative to the elements, uncorrected: -1.72 eV per atom

abc: 4.023 6.999 9.093
angles: 75.25 77.22 73.30
Atoms (fractional coordinates):
Tb: 0.209 0.903 0.679
Tb: 0.791 0.097 0.321
Tb: 0.390 0.339 0.880
Tb: 0.000 0.500 0.500
Tb: 0.610 0.661 0.120
Bi: 0.000 0.000 0.000
S: 0.593 0.210 0.603
S: 0.205 0.380 0.209
S: 0.795 0.620 0.791
S: 0.407 0.790 0.397

***

No. 3
A relaxed MgAu2Cl crystal, computed with PBE.

Computed properties:
* energy relative to the elements, uncorrected: -0.50 eV per atom

abc: 3.081 3.081 9.013
angles: 90.00 90.00 89.97
Atoms (fractional coordinates):
Au: 0.000 0.000 0.966
Au: 0.500 0.500 0.186
Cl: 0.000 0.000 0.593
Mg: 0.500 0.500 0.755

***

No. 4
A relaxed HfGaAu crystal, computed with PBE.

Computed properties:
* ΔE_f: -501 meV/atom

abc: 3.130 4.480 4.480
angles: 120.00 90.00 90.00
Atoms (fractional coordinates):
Hf: 0.667 0.333 0.667
Au: 0.166 0.667 0.333
Ga: 0.167 0.000 0.000

***

No. 5
A relaxed Ba3Sb2Pd9 crystal, computed with PBE.

Computed properties:
* energy relative to the elements, uncorrected: -0.50 eV per atom

abc: 4.553 9.002 9.002
angles: 73.86 75.35 75.35
Atoms (fractional coordinates):
Ba: 0.000 0.000 0.000
Ba: 0.696 0.304 0.304
Ba: 0.304 0.696 0.696
Sb: 0.500 0.276 0.724
Sb: 0.500 0.724 0.276
Pd: 0.000 0.500 0.500
Pd: 0.696 0.006 0.602
Pd: 0.304 0.994 0.398
Pd: 0.696 0.602 0.006
Pd: 0.304 0.398 0.994
Pd: 0.895 0.828 0.383
Pd: 0.105 0.172 0.617
Pd: 0.895 0.383 0.828
Pd: 0.105 0.617 0.172

***

No. 6
A relaxed InGa2S crystal, computed with PBE.

Computed properties:
* energy relative to the elements, uncorrected: -0.10 eV per atom

abc: 6.116 6.116 7.180
angles: 64.79 64.79 90.00
Atoms (fractional coordinates):
S: 0.500 0.500 0.000
S: 0.250 0.750 0.500
Ga: 0.594 0.125 0.250
Ga: 0.156 0.625 0.250
Ga: 0.375 0.406 0.750
Ga: 0.875 0.844 0.750
In: 0.000 0.000 0.000
In: 0.750 0.250 0.500

***

No. 7
A relaxed ZrC3 crystal, computed with PBE.

Computed properties:
* ΔE_f: 1323 meV/atom

abc: 4.522 4.522 9.897
angles: 90.00 90.00 120.00
Atoms (fractional coordinates):
C: 0.500 0.000 0.000
C: 0.500 0.000 0.500
C: 0.000 0.500 0.000
C: 0.500 0.500 0.000
C: 0.500 0.500 0.500
C: 0.000 0.500 0.500
C: 0.772 0.544 0.250
C: 0.228 0.456 0.750
C: 0.456 0.228 0.250
C: 0.772 0.228 0.250
C: 0.228 0.772 0.750
C: 0.544 0.772 0.750
Zr: 0.000 0.000 0.000
Zr: 0.000 0.000 0.500
Zr: 0.333 0.667 0.250
Zr: 0.667 0.333 0.750

***

No. 8
A relaxed Y3NpCl2O6 crystal, computed with PBE.

Computed properties:
* energy relative to the elements, uncorrected: -2.88 eV per atom

abc: 5.451 6.760 6.913
angles: 119.27 79.84 90.00
Each line ends with the local moment (μB).
Atoms (fractional coordinates):
Y: 0.000 0.500 0.000  0.00
Y: 0.500 0.500 0.500  0.00
Y: 0.500 0.000 0.500  0.00
Np: 0.500 0.000 0.000  2.23
Cl: 0.160 0.698 0.395  0.00
Cl: 0.840 0.302 0.605  0.00
O: 0.708 0.315 0.132  -0.04
O: 0.292 0.685 0.868  -0.04
O: 0.665 0.827 0.654  -0.04
O: 0.335 0.173 0.346  -0.04
O: 0.292 0.183 0.868  -0.04
O: 0.708 0.817 0.132  -0.04

***

Repeat the first record exactly.
A relaxed SmHO2 crystal, computed with PBE.

Computed properties:
* total energy: -28.4 eV per formula unit

abc: 3.785 4.413 6.194
angles: 71.27 90.00 90.00
Atoms (fractional coordinates):
H: 0.250 0.976 0.929
H: 0.750 0.024 0.071
O: 0.250 0.764 0.455
O: 0.750 0.236 0.545
O: 0.250 0.751 0.939
O: 0.750 0.249 0.061
Sm: 0.750 0.667 0.690
Sm: 0.250 0.333 0.310

***

What did the first record say?
A relaxed SmHO2 crystal, computed with PBE.

Computed properties:
* total energy: -28.4 eV per formula unit

abc: 3.785 4.413 6.194
angles: 71.27 90.00 90.00
Atoms (fractional coordinates):
H: 0.250 0.976 0.929
H: 0.750 0.024 0.071
O: 0.250 0.764 0.455
O: 0.750 0.236 0.545
O: 0.250 0.751 0.939
O: 0.750 0.249 0.061
Sm: 0.750 0.667 0.690
Sm: 0.250 0.333 0.310